This record from OQMD describes a relaxed structure of Li4SbAsPd2. The functional is PBE.

Output
Total DFT energy (no corrections) (eV per atom): -3.997

Cell and atoms, written as CIF:
```
data_Li4SbAsPd2
_chemical_formula_sum 'Li4 Sb1 As1 Pd2'
_cell_length_a 4.354
_cell_length_b 4.354
_cell_length_c 6.289
_cell_angle_alpha 90.00
_cell_angle_beta 90.00
_cell_angle_gamma 90.00
_symmetry_space_group_name_H-M 'P -4 m 2'
_symmetry_Int_Tables_number 115
_symmetry_space_group_name_Hall 'P -4 -2'
loop_
_atom_site_label
_atom_site_fract_x
_atom_site_fract_y
_atom_site_fract_z
Li1 0.000 0.000 0.000
Li2 0.000 0.500 0.226
Li3 0.500 0.500 0.500
Sb1 0.000 0.000 0.500
As1 0.500 0.500 0.000
Pd1 0.000 0.500 0.764
```


This record from OQMD describes a relaxed structure of Li4SiAsPd2. The functional is PBE.

Output
Total DFT energy (no corrections) (eV per atom): -4.110

Cell and atoms, written as CIF:
```
data_Li4SiAsPd2
_chemical_formula_sum 'Li4 Si1 As1 Pd2'
_cell_length_a 4.233
_cell_length_b 4.233
_cell_length_c 6.005
_cell_angle_alpha 90.00
_cell_angle_beta 90.00
_cell_angle_gamma 90.00
_symmetry_space_group_name_H-M 'P -4 m 2'
_symmetry_Int_Tables_number 115
_symmetry_space_group_name_Hall 'P -4 -2'
loop_
_atom_site_label
_atom_site_fract_x
_atom_site_fract_y
_atom_site_fract_z
Li1 0.000 0.000 0.000
Li2 0.000 0.500 0.250
Li3 0.500 0.500 0.500
Si1 0.000 0.000 0.500
As1 0.500 0.500 0.000
Pd1 0.000 0.500 0.733
```


This record from OQMD describes a relaxed structure of SrLiAsPd. The functional is PBE.

Output
Energy above the lowest structure with this stoichiometry (eV/f.u.): 0.059
Total DFT energy (no corrections) (eV per atom): -3.950

Cell and atoms, written as CIF:
```
data_SrLiAsPd
_chemical_formula_sum 'Sr4 Li4 As4 Pd4'
_cell_length_a 6.809
_cell_length_b 6.809
_cell_length_c 6.809
_cell_angle_alpha 90.00
_cell_angle_beta 90.00
_cell_angle_gamma 90.00
_symmetry_space_group_name_H-M 'F -4 3 m'
_symmetry_Int_Tables_number 216
_symmetry_space_group_name_Hall 'F -4 2 3'
loop_
_atom_site_label
_atom_site_fract_x
_atom_site_fract_y
_atom_site_fract_z
Sr1 0.000 0.000 0.000
Li1 0.250 0.250 0.250
As1 0.250 0.250 0.750
Pd1 0.000 0.000 0.500
```


This record from OQMD describes a relaxed structure of SrLiAsPd. The functional is PBE.

Output
Energy above the lowest structure with this stoichiometry (eV/f.u.): 0.000
Total DFT energy (no corrections) (eV per atom): -3.965

Cell and atoms, written as CIF:
```
data_SrLiAsPd
_chemical_formula_sum 'Sr4 Li4 As4 Pd4'
_cell_length_a 6.779
_cell_length_b 6.779
_cell_length_c 6.779
_cell_angle_alpha 90.00
_cell_angle_beta 90.00
_cell_angle_gamma 90.00
_symmetry_space_group_name_H-M 'F -4 3 m'
_symmetry_Int_Tables_number 216
_symmetry_space_group_name_Hall 'F -4 2 3'
loop_
_atom_site_label
_atom_site_fract_x
_atom_site_fract_y
_atom_site_fract_z
Sr1 0.000 0.000 0.000
Li1 0.250 0.250 0.250
As1 0.000 0.000 0.500
Pd1 0.250 0.250 0.750
```